## DyReNi (GGA-PBE)

Data for crystalline DyReNi at its relaxed geometry.

total magnetic moment = 0.0 μB per cell
E_form = -0.236 eV per atom
symmetry = R-3m

Geometry as POSCAR:
```
DyReNi
1.0
2.651 1.531 12.831
-2.651 1.531 12.831
0.000 -3.062 12.831
Dy Re Ni
6 6 6
Cartesian
0.000 0.000 1.701
0.000 0.000 6.874
0.000 0.000 10.043
0.000 0.000 28.448
0.000 0.000 31.618
0.000 0.000 36.790
-1.326 -0.765 12.831
0.000 0.000 15.089
-1.326 0.765 25.661
0.000 1.531 12.831
0.000 0.000 19.246
0.000 0.000 23.402
-1.293 -0.747 21.320
0.000 -1.493 17.172
-1.293 0.747 17.172
1.293 -0.747 21.320
0.000 1.493 21.320
1.293 0.747 17.172
```

## Dy2ReNi (GGA-PBE)

Data for crystalline Dy2ReNi at its relaxed geometry.

total magnetic moment = 0.0 μB per cell
E_form = 0.721 eV per atom
symmetry = R-3m

Geometry as POSCAR:
```
Dy2ReNi
1.0
3.048 0.000 0.000
-1.524 2.639 0.000
0.000 0.000 29.960
Dy Re Ni
6 3 3
Cartesian
0.000 0.000 2.795
0.000 0.000 27.165
0.000 1.760 17.178
0.000 1.760 22.769
1.524 0.880 7.192
1.524 0.880 12.782
0.000 0.000 0.000
0.000 1.760 19.974
1.524 0.880 9.987
0.000 0.000 14.980
0.000 1.760 4.993
1.524 0.880 24.967
```

## DyReSi3Ni (GGA-PBE)

Data for crystalline DyReSi3Ni at its relaxed geometry.

total magnetic moment = 0.0 μB per cell
symmetry = Cmcm
formation energy from raw total energies = -0.27 eV per atom

Geometry as POSCAR:
```
DyReSi3Ni
1.0
3.074 -6.623 0.000
3.074 6.623 0.000
0.000 0.000 5.451
Dy Re Si Ni
2 2 6 2
Cartesian
3.074 3.906 4.088
3.074 -3.906 1.363
3.074 0.711 1.363
3.074 -0.711 4.088
1.197 0.000 0.000
1.197 0.000 2.725
3.074 2.998 1.363
3.074 -2.998 4.088
4.950 0.000 0.000
4.950 0.000 2.725
3.074 5.161 1.363
3.074 -5.161 4.088
```

## Dy3Ni2Rh (GGA-PBE)

Data for crystalline Dy3Ni2Rh at its relaxed geometry.

total magnetic moment = 0.0 μB per cell
E_form = -0.499 eV per atom
symmetry = Pnma

Geometry as POSCAR:
```
Dy3Ni2Rh
1.0
11.282 0.000 0.000
0.000 3.963 0.000
0.000 0.000 11.360
Dy Ni Rh
12 8 4
Cartesian
0.611 0.991 1.394
1.366 2.972 6.353
2.353 0.991 9.171
3.288 2.972 3.491
4.274 0.991 0.673
5.030 2.972 7.074
6.252 0.991 4.285
7.007 2.972 10.687
7.994 0.991 7.868
8.928 2.972 2.189
9.915 0.991 5.007
10.671 2.972 9.965
0.115 2.972 3.452
2.055 2.972 11.332
3.586 0.991 5.652
5.526 0.991 9.132
5.756 2.972 2.227
7.696 2.972 5.707
9.227 0.991 0.027
11.167 0.991 7.907
1.428 0.991 4.233
4.213 2.972 9.913
7.069 0.991 1.446
9.853 2.972 7.126
```

## Dy6NiRh5 (GGA-PBE)

Data for crystalline Dy6NiRh5 at its relaxed geometry.

total magnetic moment = 0.0 μB per cell
E_form = -0.795 eV per atom
symmetry = Cmmm

Geometry as POSCAR:
```
Dy6NiRh5
1.0
2.410 -7.237 0.000
2.410 7.237 0.000
0.000 0.000 6.897
Dy Ni Rh
6 1 5
Cartesian
0.000 0.000 1.716
0.000 0.000 5.181
2.410 2.406 1.718
2.410 2.406 5.179
2.410 -2.406 1.718
2.410 -2.406 5.179
2.410 0.000 0.000
2.410 4.829 0.000
2.410 4.817 3.449
2.410 0.000 3.449
2.410 -4.817 3.449
2.410 -4.829 0.000
```

## Dy5Ni2Rh (GGA-PBE)

Data for crystalline Dy5Ni2Rh at its relaxed geometry.

total magnetic moment = 0.0 μB per cell
E_form = -0.460 eV per atom
symmetry = I4/mcm

Geometry as POSCAR:
```
Dy5Ni2Rh
1.0
-3.544 3.544 7.251
3.544 -3.544 7.251
3.544 3.544 -7.251
Dy Ni Rh
10 4 2
Cartesian
0.000 0.000 0.000
4.767 1.223 -2.101
1.223 2.321 -2.101
4.767 1.223 2.101
1.223 2.321 2.101
0.000 0.000 7.251
2.321 1.223 5.150
-1.223 2.321 5.150
2.321 1.223 9.352
-1.223 2.321 9.352
2.681 0.863 0.000
2.681 -0.863 7.251
0.863 4.407 0.000
0.863 2.681 7.251
0.000 0.000 3.625
0.000 0.000 10.876
```

## DyNiRh3 (GGA-PBE)

Data for crystalline DyNiRh3 at its relaxed geometry.

total magnetic moment = 0.0 μB per cell
E_form = 0.245 eV per atom
symmetry = Cmcm

Geometry as POSCAR:
```
DyNiRh3
1.0
3.455 -5.949 0.000
3.455 5.949 0.000
0.000 0.000 4.713
Dy Ni Rh
2 2 6
Cartesian
3.455 4.697 3.535
3.455 -4.697 1.178
3.455 2.131 3.535
3.455 -2.131 1.178
2.215 2.644 1.178
4.695 2.644 1.178
3.455 0.000 0.000
3.455 0.000 2.356
2.215 -2.644 3.535
4.695 -2.644 3.535
```

## Dy2NiRh (GGA-PBE)

Data for crystalline Dy2NiRh at its relaxed geometry.

total magnetic moment = 0.0 μB per cell
E_form = -0.633 eV per atom
symmetry = P4/mmm

Geometry as POSCAR:
```
Dy2NiRh
1.0
3.398 0.000 0.000
0.000 3.398 0.000
0.000 0.000 6.835
Dy Ni Rh
2 1 1
Cartesian
0.000 0.000 1.703
0.000 0.000 5.132
1.699 1.699 0.000
1.699 1.699 3.418
```

## Dy12Ni6Rh (GGA-PBE)

Data for crystalline Dy12Ni6Rh at its relaxed geometry.

total magnetic moment = 0.0 μB per cell
E_form = -0.251 eV per atom
symmetry = R-3

Geometry as POSCAR:
```
Dy12Ni6Rh
1.0
6.060 3.499 3.846
-6.060 3.499 3.846
0.000 -6.997 3.846
Dy Ni Rh
12 6 1
Cartesian
-5.190 -1.371 6.287
-1.408 -5.180 5.252
-2.378 -0.227 4.488
-3.782 3.809 5.252
1.385 -1.946 4.488
-0.992 -2.172 7.051
0.992 2.172 4.488
-1.385 1.946 7.051
3.782 -3.809 6.287
2.377 0.227 7.051
1.408 5.180 6.287
5.190 1.371 5.252
-1.120 -2.735 4.083
-1.808 2.338 4.083
-2.929 -0.397 7.456
2.929 0.397 4.083
1.808 -2.338 7.456
1.120 2.735 7.456
0.000 0.000 0.000
```

## DyNi2Rh2 (GGA-PBE)

Data for crystalline DyNi2Rh2 at its relaxed geometry.

total magnetic moment = 3.9 μB per cell
E_form = -0.225 eV per atom
symmetry = I4/mmm

Geometry as POSCAR:
```
DyNi2Rh2
1.0
-1.959 1.959 10.689
1.959 -1.959 10.689
1.959 1.959 -10.689
Dy Ni Rh
2 4 4
Cartesian
0.000 0.000 2.678
0.000 0.000 18.700
1.959 0.000 0.000
0.000 0.000 6.867
0.000 1.959 0.000
0.000 0.000 14.511
1.959 0.000 5.344
0.000 0.000 9.182
0.000 0.000 12.196
0.000 1.959 5.344
```

## DyNi3Rh (GGA-PBE)

Data for crystalline DyNi3Rh at its relaxed geometry.

total magnetic moment = 2.5 μB per cell
E_form = 0.053 eV per atom
symmetry = Cmcm

Geometry as POSCAR:
```
DyNi3Rh
1.0
2.278 -8.307 0.000
2.278 8.307 0.000
0.000 0.000 4.331
Dy Ni Rh
2 6 2
Cartesian
2.278 6.860 3.248
2.278 -6.860 1.083
1.184 3.758 1.083
1.184 -3.758 3.248
2.278 0.000 0.000
2.278 0.000 2.165
3.371 3.758 1.083
3.371 -3.758 3.248
2.278 2.307 3.248
2.278 -2.307 1.083
```

## DyNi4Rh (GGA-PBE)

Data for crystalline DyNi4Rh at its relaxed geometry.

total magnetic moment = 1.6 μB per cell
E_form = -0.270 eV per atom
energy above the lowest structure with this stoichiometry = 0.0 kJ per mole of atoms
symmetry = F-43m

Geometry as POSCAR:
```
DyNi4Rh
1.0
0.000 3.448 3.448
3.448 0.000 3.448
3.448 3.448 0.000
Dy Ni Rh
1 4 1
Cartesian
0.000 0.000 0.000
4.303 2.593 2.593
2.593 4.303 2.593
2.593 2.593 4.303
4.303 4.303 4.303
1.724 1.724 1.724
```